Below is crystalline Sr4TaIr3N4O8 at its relaxed geometry, with properties calculated at the PBE level.

Cell lengths 5.6716, 5.6716, 7.8268 Å; angles 90.00, 90.00, 90.00 degrees
Closest atoms and distances in Å follow each position.
Atoms (fractional coordinates):
Sr  0.0000  0.5000  0.2494  4 O 2.45-2.63
Sr  0.0000  0.5000  0.7506  4 O 2.45-2.63
Sr  0.5000  0.0000  0.2494  4 O 2.45-2.63
Sr  0.5000  0.0000  0.7506  4 O 2.45-2.63
Ta  0.0000  0.0000  0.5000  4 O 2.01, 2 N 2.01
Ir  0.0000  0.0000  0.0000  2 N 1.90, 4 O 2.07
Ir  0.5000  0.5000  0.0000  2 N 1.94, 4 O 2.08
Ir  0.5000  0.5000  0.5000  2 N 1.97, 4 O 2.04
N  0.0000  0.0000  0.2430  1 Ir 1.90, 1 Ta 2.01
N  0.0000  0.0000  0.7570  1 Ir 1.90, 1 Ta 2.01
N  0.5000  0.5000  0.2479  2 Ir 1.94-1.97
N  0.5000  0.5000  0.7521  2 Ir 1.94-1.97
O  0.1846  0.3144  0.0000  2 Ir 2.07-2.08
O  0.2156  0.7194  0.5000  1 Ta 2.01, 1 Ir 2.04
O  0.2806  0.2156  0.5000  1 Ta 2.01, 1 Ir 2.04
O  0.3144  0.8154  0.0000  2 Ir 2.07-2.08
O  0.6856  0.1846  0.0000  2 Ir 2.07-2.08
O  0.7194  0.7844  0.5000  1 Ta 2.01, 1 Ir 2.04
O  0.7844  0.2806  0.5000  1 Ta 2.01, 1 Ir 2.04
O  0.8154  0.6856  0.0000  2 Ir 2.07-2.08

SG: P4/m (83)

Below is crystalline SrLiDyTe3 at its relaxed geometry, with properties calculated at the PBE level.

Cell lengths 14.7311, 4.4362, 11.5946 Å; angles 90.00, 90.00, 90.00 degrees
Closest atoms and distances in Å follow each position.
Atoms (fractional coordinates):
Sr  0.2243  0.2500  0.0384  6 Te 3.33-3.50, 1 Li 3.72
Sr  0.2757  0.7500  0.5384  6 Te 3.33-3.50, 1 Li 3.72
Sr  0.7243  0.2500  0.4616  6 Te 3.33-3.50, 1 Li 3.72
Sr  0.7757  0.7500  0.9616  6 Te 3.33-3.50, 1 Li 3.72
Li  0.0067  0.7500  0.0906  4 Te 2.77-2.79, 2 Li 3.06
Li  0.4933  0.2500  0.5906  4 Te 2.77-2.79, 2 Li 3.06
Li  0.5067  0.7500  0.4094  4 Te 2.77-2.79, 2 Li 3.06
Li  0.9933  0.2500  0.9094  4 Te 2.77-2.79, 2 Li 3.06
Dy  0.0165  0.2500  0.3324  6 Te 3.07-3.10
Dy  0.4835  0.7500  0.8324  6 Te 3.07-3.10
Dy  0.5165  0.2500  0.1676  6 Te 3.07-3.10
Dy  0.9835  0.7500  0.6676  6 Te 3.07-3.10
Te  0.1037  0.7500  0.8843  3 Li 2.77-2.79, 1 Dy 3.07
Te  0.1092  0.2500  0.5703  3 Dy 3.08-3.10, 2 Sr 3.33
Te  0.1474  0.7500  0.2509  1 Li 2.78, 2 Dy 3.09
Te  0.3526  0.2500  0.7509  1 Li 2.78, 2 Dy 3.09
Te  0.3908  0.7500  0.0703  3 Dy 3.08-3.10, 2 Sr 3.33
Te  0.3963  0.2500  0.3843  3 Li 2.77-2.79, 1 Dy 3.07
Te  0.6037  0.7500  0.6157  3 Li 2.77-2.79, 1 Dy 3.07
Te  0.6092  0.2500  0.9297  3 Dy 3.08-3.10, 2 Sr 3.33
Te  0.6474  0.7500  0.2491  1 Li 2.78, 2 Dy 3.09
Te  0.8526  0.2500  0.7491  1 Li 2.78, 2 Dy 3.09
Te  0.8908  0.7500  0.4297  3 Dy 3.08-3.10, 2 Sr 3.33
Te  0.8963  0.2500  0.1157  3 Li 2.77-2.79, 1 Dy 3.07

SG: Pnma (62)

Below is crystalline SrGaMo at its relaxed geometry, with properties calculated at the PBE level.

Cell lengths 6.8178, 6.8178, 6.8178 Å; angles 90.00, 90.00, 90.00 degrees
Closest atoms and distances in Å follow each position.
Atoms (fractional coordinates):
Sr  0.0000  0.0000  0.0000  4 Ga 2.95
Sr  0.0000  0.5000  0.5000  4 Ga 2.95
Sr  0.5000  0.0000  0.5000  4 Ga 2.95
Sr  0.5000  0.5000  0.0000  4 Ga 2.95
Ga  0.2500  0.2500  0.7500  4 Sr 2.95, 4 Mo 2.95
Ga  0.2500  0.7500  0.2500  4 Sr 2.95, 4 Mo 2.95
Ga  0.7500  0.2500  0.2500  4 Sr 2.95, 4 Mo 2.95
Ga  0.7500  0.7500  0.7500  4 Sr 2.95, 4 Mo 2.95
Mo  0.0000  0.0000  0.5000  4 Ga 2.95
Mo  0.0000  0.5000  0.0000  4 Ga 2.95
Mo  0.5000  0.0000  0.0000  4 Ga 2.95
Mo  0.5000  0.5000  0.5000  4 Ga 2.95

SG: F-43m (216)

Below is crystalline NaTl2Cd at its relaxed geometry, with properties calculated at the PBE level.

Cell lengths 9.2286, 9.2286, 9.2286 Å; angles 146.36, 131.98, 59.90 degrees
Closest atoms and distances in Å follow each position.
Atoms (fractional coordinates):
Na  0.0000  0.0000  0.0000  8 Tl 3.26
Na  0.3331  0.3331  0.0000  8 Tl 3.26
Na  0.6669  0.6669  0.0000  8 Tl 3.26
Tl  0.0837  0.8335  0.2503  4 Cd 3.26-3.27, 4 Na 3.26
Tl  0.2498  0.5000  0.7498  4 Cd 3.26-3.27, 4 Na 3.26
Tl  0.4168  0.1665  0.2503  4 Cd 3.26-3.27, 4 Na 3.26
Tl  0.5832  0.8335  0.7497  4 Cd 3.26-3.27, 4 Na 3.26
Tl  0.7502  0.5000  0.2502  4 Cd 3.26-3.27, 4 Na 3.26
Tl  0.9163  0.1665  0.7497  4 Cd 3.26-3.27, 4 Na 3.26
Cd  0.1668  0.6668  0.5000  8 Tl 3.26-3.27
Cd  0.5000  0.0000  0.5000  8 Tl 3.26-3.27
Cd  0.8332  0.3332  0.5000  8 Tl 3.26-3.27

SG: Immm (71)

Below is crystalline LaNb7O19 at its relaxed geometry, with properties calculated at the PBE level.

Cell lengths 6.2695, 6.2695, 20.1615 Å; angles 90.00, 90.00, 120.00 degrees
Closest atoms and distances in Å follow each position.
Atoms (fractional coordinates):
La  0.3333  0.6667  0.1532  8 O 2.45-2.61
La  0.6667  0.3333  0.8468  8 O 2.45-2.61
Nb  0.0000  0.3623  0.5000  6 O 1.98-2.03
Nb  0.0000  0.6426  0.0000  6 O 1.97-2.08
Nb  0.0024  0.3627  0.3116  5 O 1.87-2.08
Nb  0.3333  0.6667  0.8411  6 O 1.95-2.07
Nb  0.3574  0.3574  0.0000  6 O 1.97-2.08
Nb  0.3603  0.9976  0.3116  5 O 1.87-2.08
Nb  0.3623  0.0000  0.5000  6 O 1.98-2.03
Nb  0.3627  0.0024  0.6884  5 O 1.87-2.08
Nb  0.6373  0.6397  0.3116  5 O 1.87-2.08
Nb  0.6377  0.6377  0.5000  6 O 1.98-2.03
Nb  0.6397  0.6373  0.6884  5 O 1.87-2.08
Nb  0.6426  0.0000  0.0000  6 O 1.97-2.08
Nb  0.6667  0.3333  0.1589  6 O 1.95-2.07
Nb  0.9976  0.3603  0.6884  5 O 1.87-2.08
O  0.0000  0.2461  0.0000  2 Nb 1.99
O  0.9997  0.7512  0.3067  2 Nb 2.00-2.02
O  0.0003  0.7515  0.6933  2 Nb 2.00-2.02
O  0.0000  0.7543  0.5000  2 Nb 2.01
O  0.0432  0.4205  0.4032  2 Nb 1.87-1.98
O  0.0501  0.4204  0.7918  2 Nb 1.95-2.11
O  0.0557  0.6230  0.9048  2 Nb 1.97-2.07
O  0.2461  0.0000  0.0000  2 Nb 1.99
O  0.2457  0.2457  0.5000  2 Nb 2.01
O  0.2485  0.2488  0.6933  2 Nb 2.00-2.02
O  0.2488  0.2485  0.3067  2 Nb 2.00-2.02
O  0.3333  0.6667  0.0239  3 Nb 2.08
O  0.3333  0.6667  0.2821  3 Nb 2.08
O  0.3333  0.6667  0.5152  3 Nb 2.03
O  0.3333  0.6667  0.6816  3 Nb 2.02
O  0.3703  0.9499  0.7918  2 Nb 1.95-2.11
O  0.3770  0.4327  0.9048  2 Nb 1.97-2.07
O  0.3773  0.9568  0.4032  2 Nb 1.87-1.98
O  0.4204  0.0501  0.2082  2 Nb 1.95-2.11
O  0.4205  0.0432  0.5968  2 Nb 1.87-1.98
O  0.4327  0.3770  0.0952  2 Nb 1.97-2.07
O  0.5673  0.9443  0.9048  2 Nb 1.97-2.07
O  0.5795  0.6227  0.4032  2 Nb 1.87-1.98
O  0.5796  0.6297  0.7918  2 Nb 1.95-2.11
O  0.6230  0.0557  0.0952  2 Nb 1.97-2.07
O  0.6227  0.5795  0.5968  2 Nb 1.87-1.98
O  0.6297  0.5796  0.2082  2 Nb 1.95-2.11
O  0.6667  0.3333  0.3184  3 Nb 2.02
O  0.6667  0.3333  0.4848  3 Nb 2.03
O  0.6667  0.3333  0.7179  3 Nb 2.08
O  0.6667  0.3333  0.9761  3 Nb 2.08
O  0.7512  0.9997  0.6933  2 Nb 2.00-2.02
O  0.7515  0.0003  0.3067  2 Nb 2.00-2.02
O  0.7543  0.0000  0.5000  2 Nb 2.01
O  0.7539  0.7539  0.0000  2 Nb 1.99
O  0.9443  0.5673  0.0952  2 Nb 1.97-2.07
O  0.9499  0.3703  0.2082  2 Nb 1.95-2.11
O  0.9568  0.3773  0.5968  2 Nb 1.87-1.98

SG: P321 (150)

Below is crystalline Ho5InTe4 at its relaxed geometry, with properties calculated at the PBE level.

Cell lengths 7.5422, 7.5422, 7.5422 Å; angles 99.55, 99.55, 131.93 degrees
Closest atoms and distances in Å follow each position.
Atoms (fractional coordinates):
Ho  0.0000  0.0000  0.0000  2 In 3.07, 4 Te 3.09
Ho  0.2095  0.4018  0.6113  1 In 2.99, 5 Te 3.07-3.13
Ho  0.4018  0.7905  0.1923  1 In 2.99, 5 Te 3.07-3.13
Ho  0.5982  0.2095  0.8077  1 In 2.99, 5 Te 3.07-3.13
Ho  0.7905  0.5982  0.3887  1 In 2.99, 5 Te 3.07-3.13
In  0.5000  0.5000  0.0000  6 Ho 2.99-3.07
Te  0.0959  0.6972  0.7930  6 Ho 3.07-3.13
Te  0.3028  0.0959  0.3987  6 Ho 3.07-3.13
Te  0.6972  0.9041  0.6013  6 Ho 3.07-3.13
Te  0.9041  0.3028  0.2070  6 Ho 3.07-3.13

SG: I4/m (87)

Below is crystalline LiAcGd at its relaxed geometry, with properties calculated at the PBE level.

Cell lengths 7.4848, 7.4848, 7.4848 Å; angles 90.00, 90.00, 90.00 degrees
Closest atoms and distances in Å follow each position.
Atoms (fractional coordinates):
Li  0.0000  0.0000  0.0000  4 Ac 3.24, 4 Gd 3.24
Li  0.0000  0.5000  0.5000  4 Ac 3.24, 4 Gd 3.24
Li  0.5000  0.0000  0.5000  4 Ac 3.24, 4 Gd 3.24
Li  0.5000  0.5000  0.0000  4 Ac 3.24, 4 Gd 3.24
Ac  0.2500  0.2500  0.7500  4 Li 3.24
Ac  0.2500  0.7500  0.2500  4 Li 3.24
Ac  0.7500  0.2500  0.2500  4 Li 3.24
Ac  0.7500  0.7500  0.7500  4 Li 3.24
Gd  0.2500  0.2500  0.2500  4 Li 3.24
Gd  0.2500  0.7500  0.7500  4 Li 3.24
Gd  0.7500  0.2500  0.7500  4 Li 3.24
Gd  0.7500  0.7500  0.2500  4 Li 3.24

SG: F-43m (216)

Below is crystalline LiCuTeMoSe2 at its relaxed geometry, with properties calculated at the PBE level.

Cell lengths 6.9369, 6.9369, 9.8953 Å; angles 90.00, 90.00, 150.72 degrees
Closest atoms and distances in Å follow each position.
Atoms (fractional coordinates):
Li  0.1992  0.8008  0.7500  4 Se 2.74, 2 Cu 2.82
Li  0.8008  0.1992  0.2500  4 Se 2.74, 2 Cu 2.82
Cu  0.4650  0.5350  0.2500  2 Se 2.37, 2 Te 2.61
Cu  0.5350  0.4650  0.7500  2 Se 2.37, 2 Te 2.61
Te  0.1088  0.8912  0.2500  2 Cu 2.61, 2 Mo 2.87
Te  0.8912  0.1088  0.7500  2 Cu 2.61, 2 Mo 2.87
Mo  0.0000  0.0000  0.0000  4 Se 2.60, 2 Te 2.87
Mo  0.0000  0.0000  0.5000  4 Se 2.60, 2 Te 2.87
Se  0.3625  0.6375  0.0549  1 Cu 2.37, 2 Mo 2.60
Se  0.3625  0.6375  0.4451  1 Cu 2.37, 2 Mo 2.60
Se  0.6375  0.3625  0.5549  1 Cu 2.37, 2 Mo 2.60
Se  0.6375  0.3625  0.9451  1 Cu 2.37, 2 Mo 2.60

SG: Cmcm (63)

Below is crystalline Cu7Ag at its relaxed geometry, with properties calculated at the PBE level.

Cell lengths 3.6989, 3.6989, 14.7096 Å; angles 90.00, 90.00, 90.00 degrees
Closest atoms and distances in Å follow each position.
Atoms (fractional coordinates):
Cu  0.0000  0.0000  0.0000  4 Ag 2.62, 8 Cu 2.67
Cu  0.0000  0.0000  0.2502  12 Cu 2.54-2.62
Cu  0.0000  0.0000  0.7498  12 Cu 2.54-2.62
Cu  0.0000  0.5000  0.1313  10 Cu 2.54-2.67, 2 Ag 2.67
Cu  0.0000  0.5000  0.3687  10 Cu 2.54-2.67, 2 Ag 2.67
Cu  0.0000  0.5000  0.6313  10 Cu 2.54-2.67, 2 Ag 2.67
Cu  0.0000  0.5000  0.8687  10 Cu 2.54-2.67, 2 Ag 2.67
Cu  0.5000  0.0000  0.1313  10 Cu 2.54-2.67, 2 Ag 2.67
Cu  0.5000  0.0000  0.3687  10 Cu 2.54-2.67, 2 Ag 2.67
Cu  0.5000  0.0000  0.6313  10 Cu 2.54-2.67, 2 Ag 2.67
Cu  0.5000  0.0000  0.8687  10 Cu 2.54-2.67, 2 Ag 2.67
Cu  0.5000  0.5000  0.2498  12 Cu 2.54-2.62
Cu  0.5000  0.5000  0.5000  4 Ag 2.62, 8 Cu 2.67
Cu  0.5000  0.5000  0.7502  12 Cu 2.54-2.62
Ag  0.0000  0.0000  0.5000  12 Cu 2.62-2.67
Ag  0.5000  0.5000  0.0000  12 Cu 2.62-2.67

SG: I4/mmm (139)
ΔE_f, eV/atom: 0.045

Number 1: calculated volume 252 Å³/f.u., total energy -7.263 eV/atom. Number 2: calculated volume 189 Å³/f.u., total energy -4.350 eV/atom. Number 3: calculated volume 79 Å³/f.u., total energy -4.385 eV/atom. Number 4: calculated volume 107 Å³/f.u., total energy -1.810 eV/atom. Number 5: calculated volume 343 Å³/f.u., total energy -8.927 eV/atom. Number 6: calculated volume 291 Å³/f.u., total energy -4.937 eV/atom. Number 7: calculated volume 105 Å³/f.u., total energy -3.102 eV/atom. Number 8: calculated volume 116 Å³/f.u., total energy -4.795 eV/atom. Number 9: calculated volume 101 Å³/f.u., total energy -3.560 eV/atom.